Entry from the Open Quantum Materials Database: a relaxed structure of Y2NiPd (PBE).

Summary:
The space group is P2_1/m (11). The value obtained for the size of the total moment is 0.0 μB/f.u. As for the formation enthalpy at 0 K: -0.668 eV/atom. The electronic total energy is -26.3 eV/f.u.

Cell lengths 5.497, 4.473, 7.014 Å; angles 90.00, 90.86, 90.00 degrees
Fractional positions:
Y 0.144 0.250 0.675
Y 0.856 0.750 0.325
Ni 0.636 0.250 0.536
Y 0.641 0.750 0.807
Y 0.359 0.250 0.193
Pd 0.847 0.250 0.041
Pd 0.153 0.750 0.959
Ni 0.364 0.750 0.464